NaTmMoO4: optimized geometry, GGA+U.

```
NaTmMoO4
1.0
6.464 0.000 0.000
-3.232 5.708 -0.483
0.000 -3.511 5.773
O Mo Tm Na
8 2 2 2
Cartesian
3.232 1.758 1.410
1.445 2.848 3.709
4.677 -0.651 1.581
1.787 -0.651 1.581
0.000 0.439 3.880
0.000 1.891 1.492
-1.445 2.848 3.709
3.232 0.306 3.798
-1.616 1.099 2.645
1.616 1.099 2.645
3.232 -1.755 2.887
3.232 0.000 0.000
3.232 3.876 0.380
0.000 -1.679 4.910
```

Properties
* SG: Imma (74)
* calculated volume: 14.43 A^3/atom
* crystal system: orthorhombic
* calculated total energy: -7.053 eV/atom